Entry 1:
BaSrCuIr after structural relaxation, computed with GGA-PBE.

a b c (Å): 4.383 4.383 8.447
angles (deg): 105.15 105.15 60.01
Positions (direct):
Ba  0.000  0.000  0.000
Sr  0.835  0.835  0.508
Cu  0.580  0.580  0.740
Ir  0.248  0.248  0.745

Entry 2:
ZrRe2Tc after structural relaxation, computed with GGA-PBE.

Results
- Energy relative to the lowest polymorph listed for this composition: 134 meV per atom

a b c (Å): 4.516 4.516 4.516
angles (deg): 60.00 60.00 60.00
Positions (direct):
Zr  0.000  0.000  0.000
Re  0.250  0.250  0.250
Re  0.750  0.750  0.750
Tc  0.500  0.500  0.500

| no. | formation enthalpy at 0 K (eV/atom) |
| --- | --- |
| 1 | -0.169 |
| 2 | 0.067 |